This record from Alexandria describes GeBiAuS2 at its PBEsol-relaxed geometry. The functional is SCAN.

abc: 5.2014 5.2014 5.1893
angles: 90.00 90.00 90.00
Space group P4/mmm (No. 123)
Symmetry-distinct sites (fractional):
1 Ge 0.0000 0.0000 0.0000 [1 per cell]
2 Bi 0.5000 0.5000 0.5000 [1 per cell]
3 Au 0.5000 0.5000 0.0000 [1 per cell]
4 S 0.0000 0.5000 0.5000 [2 per cell]

## Properties
The calculation puts the energy relative to the elements, uncorrected at 0.767 eV/atom. The calculation puts the density of states at the Fermi level at 1.610 states/eV/cell. For the size of the total moment, the calculation gives 0.000 μB per formula unit.

This record from Alexandria describes Bi2HAu2 at its PBEsol-relaxed geometry. The functional is SCAN.

abc: 6.8434 6.8434 4.5333
angles: 90.00 90.00 90.00
Space group P4/mbm (No. 127)
Symmetry-distinct sites (fractional):
1 Bi 0.1854 0.3146 0.0000 [4 per cell]
2 H 0.0000 0.0000 0.0000 [2 per cell]
3 Au 0.1402 0.6402 0.5000 [4 per cell]

## Properties
The calculation puts the total energy at -59.4416 eV/atom. The calculation puts the density of states at the Fermi level at 3.145 states/eV/cell. For the size of the total moment, the calculation gives 0.000 μB per formula unit.

This record from Alexandria describes HfBi3Au at its PBEsol-relaxed geometry. The functional is SCAN.

abc: 5.3778 5.3778 5.3778
angles: 90.00 90.00 90.00
Space group Pm-3m (No. 221)
Symmetry-distinct sites (fractional):
1 Hf 0.0000 0.0000 0.0000 [1 per cell]
2 Bi 0.0000 0.5000 0.5000 [3 per cell]
3 Au 0.5000 0.5000 0.5000 [1 per cell]

## Properties
Its formation energy is 0.8924 eV per atom. The calculation puts the density of states at the Fermi level at 4.385 states/eV/cell. For the size of the total moment, the calculation gives 0.000 μB per formula unit.

This record from Alexandria describes Hf2TlBiAu at its PBEsol-relaxed geometry. The functional is SCAN.

abc: 5.1904 5.1904 5.0557
angles: 90.00 90.00 90.00
Space group P4/mmm (No. 123)
Symmetry-distinct sites (fractional):
1 Hf 0.0000 0.5000 0.0000 [2 per cell]
2 Tl 0.0000 0.0000 0.5000 [1 per cell]
3 Bi 0.5000 0.5000 0.5000 [1 per cell]
4 Au 0.0000 0.0000 0.0000 [1 per cell]

## Properties
Its formation energy is 0.4901 eV per atom. The calculation puts the density of states at the Fermi level at 3.615 states/eV/cell. For the size of the total moment, the calculation gives 0.000 μB per formula unit.

This record from Alexandria describes HgBi2Au2 at its PBEsol-relaxed geometry. The functional is SCAN.

abc: 3.8421 3.8421 16.6525
angles: 90.00 90.00 90.00
Space group I4/mmm (No. 139)
Symmetry-distinct sites (fractional):
1 Hg 0.0000 0.0000 0.0000 [2 per cell]
2 Bi 0.0000 0.0000 0.3885 [4 per cell]
3 Au 0.0000 0.5000 0.2500 [4 per cell]

## Properties
Its formation energy is 0.0918 eV per atom. The calculation puts the density of states at the Fermi level at 5.094 states/eV/cell. For the size of the total moment, the calculation gives 0.000 μB per formula unit.

This record from Alexandria describes HgBi2Au2 at its PBEsol-relaxed geometry. The functional is SCAN.

abc: 7.4601 7.4601 4.2041
angles: 90.00 90.00 90.00
Space group P4/mbm (No. 127)
Symmetry-distinct sites (fractional):
1 Hg 0.0000 0.0000 0.0000 [2 per cell]
2 Bi 0.1714 0.3286 0.5000 [4 per cell]
3 Au 0.1323 0.6323 0.0000 [4 per cell]

## Properties
Its formation energy is 0.0906 eV per atom. The calculation puts the density of states at the Fermi level at 3.516 states/eV/cell. For the size of the total moment, the calculation gives 0.000 μB per formula unit.

This record from Alexandria describes NbHgBiAu2 at its PBEsol-relaxed geometry. The functional is SCAN.

abc: 5.2188 5.2188 5.5095
angles: 90.00 90.00 90.00
Space group P4/mmm (No. 123)
Symmetry-distinct sites (fractional):
1 Nb 0.0000 0.0000 0.0000 [1 per cell]
2 Hg 0.5000 0.5000 0.0000 [1 per cell]
3 Bi 0.0000 0.0000 0.5000 [1 per cell]
4 Au 0.0000 0.5000 0.5000 [2 per cell]

## Properties
Its formation energy is 1.0424 eV per atom. The calculation puts the density of states at the Fermi level at 5.215 states/eV/cell. For the size of the total moment, the calculation gives 3.370 μB per formula unit.

This record from Alexandria describes Bi2AuI at its PBEsol-relaxed geometry. The functional is SCAN.

abc: 8.9989 8.9989 5.8792
angles: 90.00 90.00 90.00
Space group I-42d (No. 122)
Symmetry-distinct sites (fractional):
1 Bi 0.1715 0.2500 0.1250 [8 per cell]
2 Au 0.0000 0.0000 0.0000 [4 per cell]
3 I 0.0000 0.0000 0.5000 [4 per cell]

## Properties
The calculation puts the energy relative to the elements, uncorrected at 0.095 eV/atom. The calculation puts the density of states at the Fermi level at 6.456 states/eV/cell. For the size of the total moment, the calculation gives 0.000 μB per formula unit.